# 1
A plane-wave DFT calculation with meta-GGA SCAN was carried out for a crystal of TaTiAs2 relaxed with PBEsol.

Cell: 6.9838 6.9838 6.9838 Å, 131.64 131.64 70.79°
Positions (direct):
Ta (0.0000, 0.0000, 0.0000)
Ta (0.7500, 0.2500, 0.5000)
Ti (0.2500, 0.7500, 0.5000)
Ti (0.5000, 0.5000, 0.0000)
As (0.1273, 0.6250, 0.0023)
As (0.3750, 0.3773, 0.5023)
As (0.6227, 0.1250, 0.9977)
As (0.8750, 0.8727, 0.4977)

Results
DFT formation energy	0.066	eV/atom
magnetization	0.00	μB/cell

# 2
A plane-wave DFT calculation with meta-GGA SCAN was carried out for a crystal of PbIBr2 relaxed with PBEsol.

Cell: 7.4259 7.4259 7.4259 Å, 100.27 100.27 130.04°
Positions (direct):
Pb (0.0000, 0.0000, 0.0000)
Pb (0.7500, 0.2500, 0.5000)
I (0.2500, 0.7500, 0.5000)
I (0.5000, 0.5000, 0.0000)
Br (0.0368, 0.1250, 0.4118)
Br (0.3750, 0.9632, 0.0882)
Br (0.7132, 0.6250, 0.5882)
Br (0.8750, 0.2868, 0.9118)

Results
magnetization	1.75	μB/cell
formation energy from raw total energies	-363.0	meV per atom
ΔE to the lowest computed polymorph	0.27	eV per formula unit

# 3
A plane-wave DFT calculation with meta-GGA SCAN was carried out for a crystal of NaSrH2Pb relaxed with PBEsol.

Cell: 4.5316 4.5316 5.9134 Å, 90.00 90.00 90.00°
Positions (direct):
Na (0.0000, 0.0000, 0.0000)
Sr (0.0000, 0.0000, 0.5000)
H (0.0000, 0.5000, 0.0000)
H (0.5000, 0.0000, 0.0000)
Pb (0.5000, 0.5000, 0.5000)

Results
magnetization	0.00	μB/cell

# 4
A plane-wave DFT calculation with meta-GGA SCAN was carried out for a crystal of FeTeMo2 relaxed with PBEsol.

Cell: 5.0040 5.0040 5.0040 Å, 136.29 135.75 63.96°
Positions (direct):
Fe (0.0000, 0.0000, 0.0000)
Te (0.5000, 0.5000, 0.0000)
Mo (0.2501, 0.7501, 0.5000)
Mo (0.7499, 0.2499, 0.5000)

Results
magnetization	0.73	μB/cell
formation energy from raw total energies	470.6	meV per atom

# 5
A plane-wave DFT calculation with meta-GGA SCAN was carried out for a crystal of HgPbBr4 relaxed with PBEsol.

Cell: 6.2139 6.2139 6.2139 Å, 60.00 60.00 60.00°
Positions (direct):
Hg (0.0000, 0.0000, 0.0000)
Pb (0.2500, 0.2500, 0.2500)
Br (0.1256, 0.6248, 0.6248)
Br (0.6248, 0.1256, 0.6248)
Br (0.6248, 0.6248, 0.1256)
Br (0.6248, 0.6248, 0.6248)

Results
magnetization	2.03	μB/cell
formation energy from raw total energies	164.7	meV per atom

# 6
A plane-wave DFT calculation with meta-GGA SCAN was carried out for a crystal of Mo2WAu relaxed with PBEsol.

Cell: 2.6820 4.5443 5.2311 Å, 90.00 97.92 90.00°
Positions (direct):
Mo (0.0000, 0.0000, 0.0000)
Mo (0.2403, 0.5000, 0.7312)
W (0.6888, 0.5000, 0.2148)
Au (0.6494, 0.0000, 0.4952)

Results
DFT formation energy	0.234	eV/atom
magnetization	0.00	μB/cell
ΔE to the lowest computed polymorph	0.46	eV per formula unit

# 7
A plane-wave DFT calculation with meta-GGA SCAN was carried out for a crystal of Mn2W relaxed with PBEsol.

Cell: 4.1153 4.1153 2.5674 Å, 90.00 90.00 120.00°
Positions (direct):
Mn (0.3333, 0.6667, 0.3147)
Mn (0.6667, 0.3333, 0.6853)
W (0.0000, 0.0000, 0.0000)

Results
DFT formation energy	0.127	eV/atom
magnetization	4.12	μB/cell
ΔE to the lowest computed polymorph	0.28	eV per formula unit

# 8
A plane-wave DFT calculation with meta-GGA SCAN was carried out for a crystal of ReAgOsC2 relaxed with PBEsol.

Cell: 3.7869 3.7869 5.1806 Å, 90.00 90.00 90.00°
Positions (direct):
Re (0.0000, 0.0000, 0.0000)
Ag (0.5000, 0.5000, 0.5000)
Os (0.5000, 0.5000, 0.0000)
C (0.0000, 0.5000, 0.5000)
C (0.5000, 0.0000, 0.5000)

Results
DFT formation energy	3.493	eV/atom
magnetization	0.00	μB/cell

# 9
A plane-wave DFT calculation with meta-GGA SCAN was carried out for a crystal of Zn3W2 relaxed with PBEsol.

Cell: 11.2863 11.2863 11.2863 Å, 14.04 14.04 14.04°
Positions (direct):
Zn (0.0000, 0.0000, 0.0000)
Zn (0.1991, 0.1991, 0.1991)
Zn (0.8009, 0.8009, 0.8009)
W (0.4007, 0.4007, 0.4007)
W (0.5993, 0.5993, 0.5993)

Results
DFT formation energy	0.302	eV/atom
magnetization	0.00	μB/cell

# 10
A plane-wave DFT calculation with meta-GGA SCAN was carried out for a crystal of FeCu2HgSb relaxed with PBEsol.

Cell: 4.5633 4.5633 4.6283 Å, 90.00 90.00 90.00°
Positions (direct):
Fe (0.0000, 0.0000, 0.0000)
Cu (0.0000, 0.5000, 0.0000)
Cu (0.5000, 0.0000, 0.0000)
Hg (0.5000, 0.5000, 0.5000)
Sb (0.0000, 0.0000, 0.5000)

Results
magnetization	2.19	μB/cell
formation energy from raw total energies	709.5	meV per atom

# 11
A plane-wave DFT calculation with meta-GGA SCAN was carried out for a crystal of Te2AsRh relaxed with PBEsol.

Cell: 4.8625 4.8625 4.8625 Å, 60.00 60.00 60.00°
Positions (direct):
Te (0.0000, 0.0000, 0.0000)
Te (0.2500, 0.2500, 0.2500)
As (0.7500, 0.7500, 0.7500)
Rh (0.5000, 0.5000, 0.5000)

Results
magnetization	0.00	μB/cell
formation energy from raw total energies	461.6	meV per atom

# 12
A plane-wave DFT calculation with meta-GGA SCAN was carried out for a crystal of Tm2SO2 relaxed with PBEsol.

Cell: 3.6948 3.6948 6.4422 Å, 90.00 90.00 120.00°
Positions (direct):
Tm (0.3333, 0.6667, 0.2829)
Tm (0.6667, 0.3333, 0.7171)
S (0.0000, 0.0000, 0.0000)
O (0.3333, 0.6667, 0.6296)
O (0.6667, 0.3333, 0.3704)

Results
magnetization	0.00	μB/cell
formation energy from raw total energies	-3598.6	meV per atom

# 13
A plane-wave DFT calculation with meta-GGA SCAN was carried out for a crystal of ZrAlHg2 relaxed with PBEsol.

Cell: 4.8234 4.8234 4.8234 Å, 60.00 60.00 60.00°
Positions (direct):
Zr (0.0000, 0.0000, 0.0000)
Al (0.2500, 0.2500, 0.2500)
Hg (0.5000, 0.5000, 0.5000)
Hg (0.7500, 0.7500, 0.7500)

Results
DFT formation energy	0.077	eV/atom
magnetization	0.00	μB/cell

# 14
A plane-wave DFT calculation with meta-GGA SCAN was carried out for a crystal of Cd2SiP relaxed with PBEsol.

Cell: 4.6343 4.6343 3.7220 Å, 90.00 90.00 109.15°
Positions (direct):
Cd (0.0000, 0.5000, 0.0000)
Cd (0.5000, 0.0000, 0.0000)
Si (0.0000, 0.0000, 0.5000)
P (0.5000, 0.5000, 0.5000)

Results
magnetization	0.00	μB/cell
formation energy from raw total energies	469.7	meV per atom
ΔE to the lowest computed polymorph	0.00	eV per formula unit

Number 1: total energy -30.682 eV/atom. Number 2: total energy -38.223 eV/atom. Number 3: total energy -21.374 eV/atom. Number 4: total energy -30.817 eV/atom. Number 5: total energy -36.799 eV/atom. Number 6: total energy -51.920 eV/atom. Number 7: total energy -35.273 eV/atom. Number 8: total energy -35.416 eV/atom. Number 9: total energy -35.682 eV/atom. Number 10: total energy -30.081 eV/atom. Number 11: total energy -31.654 eV/atom. Number 12: total energy -28.749 eV/atom. Number 13: total energy -43.619 eV/atom. Number 14: total energy -19.841 eV/atom.